(1)
PmNdSnO | PBE | optimized geometry

Cell lengths 3.740, 3.772, 7.616 Å; angles 104.34, 104.21, 90.00 degrees
Site moments in Bohr magnetons follow the coordinates.
Element x y z (fractional)
Sn (0.322, 0.781, 0.644)  0.00
Nd (0.668, 0.126, 0.336)  0.12
O (0.570, 0.528, 0.140)  0.00
Pm (0.975, 0.433, 0.949)  0.14

## Properties
Total moment, μB/f.u.: 0.63
Formation energy (no corrections), kcal/mol of atoms: -40.37

(2)
Rb2CoBr2Cl4 | PBE | optimized geometry

Cell lengths 6.367, 7.047, 7.047 Å; angles 60.94, 93.62, 93.62 degrees
Site moments in Bohr magnetons follow the coordinates.
Element x y z (fractional)
Br (0.744, 0.859, 0.859)  0.09
Br (0.256, 0.141, 0.141)  0.09
Cl (0.307, 0.134, 0.683)  0.01
Cl (0.693, 0.866, 0.317)  0.01
Cl (0.693, 0.317, 0.866)  0.01
Cl (0.307, 0.683, 0.134)  0.01
Rb (0.280, 0.654, 0.654)  0.00
Rb (0.720, 0.346, 0.346)  0.00
Co (0.500, 0.000, 0.000)  0.73

## Properties
Total moment, μB/f.u.: 1.06
Formation energy (no corrections), kcal/mol of atoms: -23.86

(3)
YIn2NiPb | PBE | optimized geometry

Cell lengths 4.940, 4.940, 5.239 Å; angles 90.00, 90.00, 90.00 degrees
Element x y z (fractional)
In (0.000, 0.500, 0.000)
In (0.500, 0.000, 0.000)
Y (0.000, 0.000, 0.500)
Pb (0.500, 0.500, 0.500)
Ni (0.000, 0.000, 0.000)

## Properties
DFT formation energy, kJ per mole of atoms: -21.1
Total moment, μB/f.u.: 0.00

(4)
Ge2SeCl | PBE | optimized geometry

Cell lengths 7.465, 7.465, 6.287 Å; angles 53.59, 53.59, 90.00 degrees
Element x y z (fractional)
Cl (0.500, 0.500, 0.000)
Cl (0.250, 0.750, 0.500)
Ge (0.106, 0.625, 0.250)
Ge (0.875, 0.894, 0.750)
Ge (0.375, 0.356, 0.750)
Ge (0.644, 0.125, 0.250)
Se (0.000, 0.000, 0.000)
Se (0.750, 0.250, 0.500)

## Properties
Offset from the most stable computed form, eV per atom: 0.0000
Total moment, μB/f.u.: 0.00
Formation energy (no corrections), kcal/mol of atoms: -1.36